First-principles (PBE-GGA) data for a relaxed structure of Sc2CrOs, as listed in Alexandria.

Cell lengths 7.3197, 7.3197, 5.7242 Å; angles 90.00, 90.00, 90.00 degrees
Sites, in units of the cell vectors:
Sc 0.2275 0.2500 0.1250
Sc 0.2500 0.7275 0.3750
Sc 0.2500 0.7725 0.8750
Sc 0.2725 0.2500 0.6250
Sc 0.7275 0.7500 0.6250
Sc 0.7500 0.2275 0.8750
Sc 0.7500 0.2725 0.3750
Sc 0.7725 0.7500 0.1250
Cr 0.0000 0.0000 0.5000
Cr 0.0000 0.5000 0.7500
Cr 0.5000 0.0000 0.2500
Cr 0.5000 0.5000 0.0000
Os 0.0000 0.0000 0.0000
Os 0.0000 0.5000 0.2500
Os 0.5000 0.0000 0.7500
Os 0.5000 0.5000 0.5000

## Properties
E_form	0.444	eV/atom
volume	19.17	A^3/atom
E_tot	-7.93	eV/atom
energy relative to the lowest polymorph listed for this composition	2.356	eV per formula unit
magnetization	3.91	μB/f.u.